The following is a GGA-PBE calculation of an optimized crystal structure of NdY2MgHg4, from Alexandria via LeMat-Bulk.

Calculated values
The crystal system is trigonal. The calculation puts the formation energy at -456.2 meV per atom. The calculated total energy comes out at -3.02 eV/atom. The spin magnetization comes out at 0.0 Bohr magnetons per cell.

a = 9.330 Å, b = 9.330 Å, c = 9.330 Å
α = 32.09°, β = 32.09°, γ = 32.09°
Fractional positions:
Nd: 0.000 0.000 0.000
Y: 0.243 0.243 0.243
Y: 0.757 0.757 0.757
Mg: 0.500 0.500 0.500
Hg: 0.126 0.126 0.126
Hg: 0.379 0.379 0.379
Hg: 0.621 0.621 0.621
Hg: 0.874 0.874 0.874